Entry 1:
Entry from Alexandria via LeMat-Bulk: a geometry-optimized CaCuAgSe2 structure (GGA-PBE).

Results
Raw formation energy (eV/atom): -0.771
Calculated volume (Å³/f.u.): 114.33
Spin magnetization (μB/f.u.): 0.00

abc: 14.0497 4.1664 9.9171
angles: 90.00 128.02 90.00
Closest atoms and distances in Å follow each position.
Space group C2/m (No. 12)
Inequivalent atoms, fractional coordinates:
Ca1 0.2240 0.0000 0.1560 x4  5 Se 2.89-2.96
Cu1 0.0340 0.0000 0.7189 x4  4 Se 2.48-2.65
Ag1 0.1477 0.5000 0.3854 x4  4 Se 2.67-2.88, 2 Cu 2.94
Se1 0.0879 0.5000 0.8884 x4  2 Cu 2.48, 1 Ag 2.69
Se2 0.1519 0.0000 0.5891 x4  2 Cu 2.51-2.65, 1 Ag 2.67


Entry 2:
Entry from Alexandria via LeMat-Bulk: a geometry-optimized RbCuHIr2 structure (GGA-PBE).

Results
DOS(E_F) (states/eV per atom): 1.082
Calculated volume (Å³/f.u.): 83.40
Total DFT energy (no corrections) (eV/f.u.): -13.7
Spin magnetization (μB/f.u.): 0.50

abc: 5.0593 5.0593 3.2582
angles: 90.00 90.00 90.00
Closest atoms and distances in Å follow each position.
Space group P4/mmm (No. 123)
Inequivalent atoms, fractional coordinates:
Rb1 0.0000 0.0000 0.0000 x1  2 H 1.63
Cu1 0.5000 0.5000 0.5000 x1  8 Ir 3.01, 2 Cu 3.26
H1 0.0000 0.0000 0.5000 x1  2 Rb 1.63
Ir1 0.0000 0.5000 0.0000 x2  2 Rb 2.53


Entry 3:
Entry from Alexandria via LeMat-Bulk: a geometry-optimized BeOsIO2 structure (GGA-PBE).

Results
DOS(E_F) (states/eV per atom): 0.561
Raw formation energy (eV/atom): -0.162
Calculated volume (Å³/f.u.): 117.80
Offset from the most stable computed form (eV/atom): 0.0000
Spin magnetization (μB/f.u.): 0.00

abc: 3.7185 3.7185 8.5194
angles: 90.00 90.00 90.00
Closest atoms and distances in Å follow each position.
Space group P4/mmm (No. 123)
Inequivalent atoms, fractional coordinates:
Be1 0.0000 0.0000 0.0000 x1  4 I 2.63
Os1 0.5000 0.5000 0.5000 x1  4 O 1.86
I1 0.5000 0.5000 0.0000 x1  4 Be 2.63
O1 0.0000 0.5000 0.5000 x2  2 Os 1.86